CdInAu2, relaxed, DFT GGA-PBE; ΔE_f = -18.2 meV/atom; space-group type = F-43m, No. 216
1.0
-2.229 2.754 -3.333
-3.006 -2.046 -3.231
-4.792 0.782 0.301
In Au Cd
1 2 1
direct
0.250 0.250 0.250
0.000 0.000 0.000
0.750 0.750 0.750
0.500 0.500 0.500